# PBE-GGA LiTbNdBe, relaxed
data_LiTbNdBe
_symmetry_space_group_name_H-M 'P 1'
_symmetry_Int_Tables_number 1
_cell_length_a 5.0805
_cell_length_b 5.0805
_cell_length_c 5.0805
_cell_angle_alpha 60.00
_cell_angle_beta 60.00
_cell_angle_gamma 60.00
loop_
_symmetry_equiv_pos_as_xyz
'x,y,z'
loop_
_atom_site_label
_atom_site_type_symbol
_atom_site_fract_x
_atom_site_fract_y
_atom_site_fract_z
Nd1 Nd 0.2500 0.2500 0.2500
Li1 Li 0.0000 0.0000 0.0000
Tb1 Tb 0.7500 0.7500 0.7500
Be1 Be 0.5000 0.5000 0.5000
# * final energy: -14.40 eV per cell
# * formation energy from the elements: 0.159 eV/atom
# * mass density: 5.71 Mg/m³
# * density of states at the Fermi level: 1.41 states/eV per atom
# * M_tot: 0.0 μB per formula unit
# * space-group type: F-43m (216)


# PBE-GGA Pu6TeP5, relaxed
data_Pu6TeP5
_symmetry_space_group_name_H-M 'P 1'
_symmetry_Int_Tables_number 1
_cell_length_a 7.0482
_cell_length_b 7.0521
_cell_length_c 7.0394
_cell_angle_alpha 59.94
_cell_angle_beta 80.40
_cell_angle_gamma 70.55
loop_
_symmetry_equiv_pos_as_xyz
'x,y,z'
loop_
_atom_site_label
_atom_site_type_symbol
_atom_site_fract_x
_atom_site_fract_y
_atom_site_fract_z
Pu1 Pu 0.7387 0.0875 0.3502
Pu2 Pu 0.2613 0.5623 0.3502
Pu3 Pu 0.2580 0.2647 0.0000
Pu4 Pu 0.7420 0.7353 0.0000
Pu5 Pu 0.7387 0.4377 0.6498
Pu6 Pu 0.2613 0.9125 0.6498
Te1 Te 0.0000 0.0000 0.0000
P1 P 0.5000 0.1600 0.6799
P2 P 0.0000 0.3316 0.3368
P3 P 0.5000 0.5000 0.0000
P4 P 0.0000 0.6684 0.6632
P5 P 0.5000 0.8400 0.3201
# * final energy: -129.05 eV per cell
# * E_form (uncorrected): -1072 meV/atom
# * mass density: 10.16 Mg/m³
# * density of states at the Fermi level: 4.93 states/eV per atom
# * M_tot: 10.2 μB per formula unit
# * space-group type: C2/m (12)


# PBE-GGA AcHoOs, relaxed
data_AcHoOs
_symmetry_space_group_name_H-M 'P 1'
_symmetry_Int_Tables_number 1
_cell_length_a 4.9725
_cell_length_b 4.9725
_cell_length_c 4.9725
_cell_angle_alpha 60.00
_cell_angle_beta 60.00
_cell_angle_gamma 60.00
loop_
_symmetry_equiv_pos_as_xyz
'x,y,z'
loop_
_atom_site_label
_atom_site_type_symbol
_atom_site_fract_x
_atom_site_fract_y
_atom_site_fract_z
Ac1 Ac 0.5000 0.5000 0.5000
Os1 Os 0.2500 0.2500 0.2500
Ho1 Ho 0.0000 0.0000 0.0000
# * final energy: -20.11 eV per cell
# * formation energy from the elements: -0.065 eV/atom
# * mass density: 11.12 Mg/m³
# * density of states at the Fermi level: 0.88 states/eV per atom
# * M_tot: 0.0 μB per formula unit
# * space-group type: F-43m (216)
# * energy above the most stable polymorph in this dataset: 0 meV per atom


# PBE-GGA MgPaSn2, relaxed
data_MgPaSn2
_symmetry_space_group_name_H-M 'P 1'
_symmetry_Int_Tables_number 1
_cell_length_a 3.4240
_cell_length_b 5.4202
_cell_length_c 5.4202
_cell_angle_alpha 90.00
_cell_angle_beta 90.00
_cell_angle_gamma 90.00
loop_
_symmetry_equiv_pos_as_xyz
'x,y,z'
loop_
_atom_site_label
_atom_site_type_symbol
_atom_site_fract_x
_atom_site_fract_y
_atom_site_fract_z
Mg1 Mg 0.5000 0.0000 0.0000
Pa1 Pa 0.5000 0.5000 0.5000
Sn1 Sn 0.0000 0.0000 0.5000
Sn2 Sn 0.0000 0.5000 0.0000
# * final energy: -19.92 eV per cell
# * formation energy from the elements: -0.206 eV/atom
# * mass density: 8.13 Mg/m³
# * density of states at the Fermi level: 0.84 states/eV per atom
# * M_tot: 0.0 μB per formula unit
# * space-group type: P4/mmm (123)
# * energy above the most stable polymorph in this dataset: 70 meV per atom


# PBE-GGA SrLiCd2Au, relaxed
data_SrLiCd2Au
_symmetry_space_group_name_H-M 'P 1'
_symmetry_Int_Tables_number 1
_cell_length_a 5.3375
_cell_length_b 5.3375
_cell_length_c 4.9550
_cell_angle_alpha 90.00
_cell_angle_beta 90.00
_cell_angle_gamma 90.00
loop_
_symmetry_equiv_pos_as_xyz
'x,y,z'
loop_
_atom_site_label
_atom_site_type_symbol
_atom_site_fract_x
_atom_site_fract_y
_atom_site_fract_z
Sr1 Sr 0.5000 0.5000 0.5000
Li1 Li 0.0000 0.0000 0.5000
Au1 Au 0.0000 0.0000 0.0000
Cd1 Cd 0.0000 0.5000 0.0000
Cd2 Cd 0.5000 0.0000 0.0000
# * final energy: -9.87 eV per cell
# * formation energy from the elements: -0.234 eV/atom
# * mass density: 6.07 Mg/m³
# * density of states at the Fermi level: 0.39 states/eV per atom
# * M_tot: 0.0 μB per formula unit
# * space-group type: P4/mmm (123)
# * energy above the most stable polymorph in this dataset: 194 meV per atom


# PBE-GGA ThMoP2Rh5, relaxed
data_ThMoP2Rh5
_symmetry_space_group_name_H-M 'P 1'
_symmetry_Int_Tables_number 1
_cell_length_a 4.0121
_cell_length_b 4.0121
_cell_length_c 10.2789
_cell_angle_alpha 90.00
_cell_angle_beta 90.00
_cell_angle_gamma 90.00
loop_
_symmetry_equiv_pos_as_xyz
'x,y,z'
loop_
_atom_site_label
_atom_site_type_symbol
_atom_site_fract_x
_atom_site_fract_y
_atom_site_fract_z
Th1 Th 0.5000 0.5000 0.5000
Mo1 Mo 0.0000 0.0000 0.0000
P1 P 0.0000 0.0000 0.7201
P2 P 0.0000 0.0000 0.2799
Rh1 Rh 0.0000 0.0000 0.5000
Rh2 Rh 0.0000 0.5000 0.8380
Rh3 Rh 0.5000 0.0000 0.1620
Rh4 Rh 0.0000 0.5000 0.1620
Rh5 Rh 0.5000 0.0000 0.8380
# * final energy: -68.43 eV per cell
# * formation energy from the elements: -0.289 eV/atom
# * mass density: 9.08 Mg/m³
# * density of states at the Fermi level: 0.69 states/eV per atom
# * M_tot: 0.0 μB per formula unit
# * space-group type: P4/mmm (123)


# PBE-GGA SrMgTc2, relaxed
data_SrMgTc2
_symmetry_space_group_name_H-M 'P 1'
_symmetry_Int_Tables_number 1
_cell_length_a 4.1840
_cell_length_b 3.0697
_cell_length_c 7.0550
_cell_angle_alpha 77.13
_cell_angle_beta 90.00
_cell_angle_gamma 90.00
loop_
_symmetry_equiv_pos_as_xyz
'x,y,z'
loop_
_atom_site_label
_atom_site_type_symbol
_atom_site_fract_x
_atom_site_fract_y
_atom_site_fract_z
Mg1 Mg 0.0000 0.4859 0.4232
Sr1 Sr 0.5000 0.7960 0.7794
Tc1 Tc 0.0000 0.0806 0.0714
Tc2 Tc 0.5000 0.1375 0.2260
# * final energy: -22.30 eV per cell
# * formation energy from the elements: 0.427 eV/atom
# * mass density: 5.79 Mg/m³
# * density of states at the Fermi level: 0.76 states/eV per atom
# * M_tot: 0.0 μB per formula unit
# * space-group type: Pm (6)


# PBE-GGA Ce3HoTh4Se8, relaxed
data_Ce3HoTh4Se8
_symmetry_space_group_name_H-M 'P 1'
_symmetry_Int_Tables_number 1
_cell_length_a 8.2627
_cell_length_b 8.4665
_cell_length_c 8.2615
_cell_angle_alpha 119.19
_cell_angle_beta 120.00
_cell_angle_gamma 90.00
loop_
_symmetry_equiv_pos_as_xyz
'x,y,z'
loop_
_atom_site_label
_atom_site_type_symbol
_atom_site_fract_x
_atom_site_fract_y
_atom_site_fract_z
Ce1 Ce 0.5000 0.5000 0.0000
Ce2 Ce 0.5000 0.5000 0.5000
Ce3 Ce 0.0000 0.5000 0.5000
Ho1 Ho 0.0000 0.5000 0.0000
Th1 Th 0.5000 0.0000 0.0000
Th2 Th 0.5000 0.0000 0.5000
Th3 Th 0.0000 0.0000 0.0000
Th4 Th 0.0000 0.0000 0.5000
Se1 Se 0.2442 0.7418 0.9976
Se2 Se 0.2442 0.7418 0.4884
Se3 Se 0.2513 0.2539 0.5025
Se4 Se 0.7534 0.7418 0.9976
Se5 Se 0.2466 0.2582 0.0024
Se6 Se 0.7487 0.7461 0.4975
Se7 Se 0.7558 0.2582 0.5116
Se8 Se 0.7558 0.2582 0.0024
# * final energy: -106.68 eV per cell
# * E_form (uncorrected): -1672 meV/atom
# * mass density: 8.61 Mg/m³
# * density of states at the Fermi level: 1.35 states/eV per atom
# * M_tot: 2.7 μB per formula unit
# * space-group type: R-3m (166)


# PBE-GGA TlRh2Se, relaxed
data_TlRh2Se
_symmetry_space_group_name_H-M 'P 1'
_symmetry_Int_Tables_number 1
_cell_length_a 3.3070
_cell_length_b 5.4840
_cell_length_c 5.4492
_cell_angle_alpha 46.58
_cell_angle_beta 90.00
_cell_angle_gamma 90.00
loop_
_symmetry_equiv_pos_as_xyz
'x,y,z'
loop_
_atom_site_label
_atom_site_type_symbol
_atom_site_fract_x
_atom_site_fract_y
_atom_site_fract_z
Rh1 Rh 0.0000 0.0000 0.0000
Rh2 Rh 0.5000 0.5000 0.0000
Se1 Se 0.5000 0.5000 0.5000
Tl1 Tl 0.0000 0.0000 0.5000
# * final energy: -19.98 eV per cell
# * E_form (uncorrected): 144 meV/atom
# * mass density: 11.32 Mg/m³
# * density of states at the Fermi level: 0.69 states/eV per atom
# * M_tot: 0.0 μB per formula unit
# * space-group type: P2/m (10)


# PBE-GGA BaThP2Se8, relaxed
data_BaThP2Se8
_symmetry_space_group_name_H-M 'P 1'
_symmetry_Int_Tables_number 1
_cell_length_a 6.4387
_cell_length_b 6.4387
_cell_length_c 9.7072
_cell_angle_alpha 90.00
_cell_angle_beta 90.00
_cell_angle_gamma 120.00
loop_
_symmetry_equiv_pos_as_xyz
'x,y,z'
loop_
_atom_site_label
_atom_site_type_symbol
_atom_site_fract_x
_atom_site_fract_y
_atom_site_fract_z
Ba1 Ba 0.0000 0.0000 0.0000
Th1 Th 0.0000 0.0000 0.5000
P1 P 0.6667 0.3333 0.2406
P2 P 0.3333 0.6667 0.7594
Se1 Se 0.3333 0.6667 0.9826
Se2 Se 0.3492 0.3658 0.3110
Se3 Se 0.6342 0.9834 0.3110
Se4 Se 0.6667 0.3333 0.0174
Se5 Se 0.3658 0.0166 0.6890
Se6 Se 0.6508 0.6342 0.6890
Se7 Se 0.9834 0.3492 0.6890
Se8 Se 0.0166 0.6508 0.3110
# * final energy: -57.00 eV per cell
# * E_form (uncorrected): -747 meV/atom
# * mass density: 5.06 Mg/m³
# * M_tot: 0.0 μB per formula unit
# * space-group type: P-3 (147)


# PBE-GGA Ho4ZnGa3, relaxed
data_Ho4ZnGa3
_symmetry_space_group_name_H-M 'P 1'
_symmetry_Int_Tables_number 1
_cell_length_a 4.1889
_cell_length_b 4.1279
_cell_length_c 10.9367
_cell_angle_alpha 90.00
_cell_angle_beta 90.00
_cell_angle_gamma 90.00
loop_
_symmetry_equiv_pos_as_xyz
'x,y,z'
loop_
_atom_site_label
_atom_site_type_symbol
_atom_site_fract_x
_atom_site_fract_y
_atom_site_fract_z
Ho1 Ho 0.5000 0.5000 0.3595
Ho2 Ho 0.0000 0.5000 0.8581
Ho3 Ho 0.0000 0.0000 0.1432
Ho4 Ho 0.5000 0.0000 0.6415
Zn1 Zn 0.5000 0.5000 0.0752
Ga1 Ga 0.0000 0.5000 0.5751
Ga2 Ga 0.0000 0.0000 0.4257
Ga3 Ga 0.5000 0.0000 0.9217
# * final energy: -32.93 eV per cell
# * formation energy from the elements: -0.533 eV/atom
# * mass density: 8.20 Mg/m³
# * density of states at the Fermi level: 0.91 states/eV per atom
# * M_tot: 0.0 μB per formula unit
# * space-group type: Pmm2 (25)
# * energy above the most stable polymorph in this dataset: 2 meV per atom


# PBE-GGA Tb5Tm4, relaxed
data_Tb5Tm4
_symmetry_space_group_name_H-M 'P 1'
_symmetry_Int_Tables_number 1
_cell_length_a 6.9464
_cell_length_b 9.6325
_cell_length_c 9.6325
_cell_angle_alpha 120.00
_cell_angle_beta 90.00
_cell_angle_gamma 90.00
loop_
_symmetry_equiv_pos_as_xyz
'x,y,z'
loop_
_atom_site_label
_atom_site_type_symbol
_atom_site_fract_x
_atom_site_fract_y
_atom_site_fract_z
Tb1 Tb 0.7500 0.6917 0.6917
Tb2 Tb 0.7500 0.0000 0.3083
Tb3 Tb 0.7500 0.3083 0.0000
Tb4 Tb 0.2500 0.3083 0.3083
Tb5 Tb 0.2500 0.0000 0.6917
Tb6 Tb 0.2500 0.6917 0.0000
Tb7 Tb 0.0000 0.6667 0.3333
Tb8 Tb 0.5000 0.3333 0.6667
Tb9 Tb 0.0000 0.3333 0.6667
Tb10 Tb 0.5000 0.6667 0.3333
Tm1 Tm 0.0000 0.0000 0.0000
Tm2 Tm 0.5000 0.0000 0.0000
Tm3 Tm 0.7500 0.3544 0.3544
Tm4 Tm 0.7500 0.0000 0.6456
Tm5 Tm 0.7500 0.6456 0.0000
Tm6 Tm 0.2500 0.6456 0.6456
Tm7 Tm 0.2500 0.0000 0.3544
Tm8 Tm 0.2500 0.3544 0.0000
# * final energy: -80.94 eV per cell
# * formation energy from the elements: 0.063 eV/atom
# * mass density: 8.75 Mg/m³
# * density of states at the Fermi level: 1.50 states/eV per atom
# * M_tot: 0.0 μB per formula unit
# * space-group type: P6_3/mcm (193)
# * energy above the most stable polymorph in this dataset: 42 meV per atom